No. 1
Below is MgCu2P after structural relaxation, with properties calculated at the GGA-PBE level.

```
data_MgCu2P
_symmetry_space_group_name_H-M 'C 1 2/m 1'
_symmetry_Int_Tables_number 12
_symmetry_space_group_name_Hall '-C 2y'
_cell_length_a 5.2841
_cell_length_b 9.0441
_cell_length_c 2.8264
_cell_angle_alpha 90.00
_cell_angle_beta 122.10
_cell_angle_gamma 90.00
loop_
_atom_site_label
_atom_site_type_symbol
_atom_site_fract_x
_atom_site_fract_y
_atom_site_fract_z
_atom_site_occupancy
Mg1 Mg 0.0000 0.0000 0.0000 1
Cu1 Cu 0.2500 0.2500 0.5000 1
P1 P 0.0000 0.5000 0.0000 1
```

Calculated values
density of states at the Fermi level = 1.914 states/eV/cell
energy of formation from the pure elements = 6 kJ/mol of atoms
M_tot = 0.00 μB/f.u.


No. 2
Below is BeSi2W after structural relaxation, with properties calculated at the GGA-PBE level.

```
data_BeSi2W
_symmetry_space_group_name_H-M 'C m m m'
_symmetry_Int_Tables_number 65
_symmetry_space_group_name_Hall '-C 2 2'
_cell_length_a 5.2534
_cell_length_b 7.3167
_cell_length_c 2.7360
_cell_angle_alpha 90.00
_cell_angle_beta 90.00
_cell_angle_gamma 90.00
loop_
_atom_site_label
_atom_site_type_symbol
_atom_site_fract_x
_atom_site_fract_y
_atom_site_fract_z
_atom_site_occupancy
Be1 Be 0.0000 0.0000 0.0000 1
Si1 Si 0.2500 0.2500 0.5000 1
W1 W 0.0000 0.5000 0.0000 1
```

Calculated values
density of states at the Fermi level = 4.410 states/eV/cell
uncorrected formation energy = 298 meV per atom
M_tot = 0.00 μB/f.u.


Question: Which value of density of states at the Fermi level does entry 1 give?
Answer: 1.914 states/eV/cell